A relaxed structure of Tl8InSb2, computed with PBE.

energy	-29.3	eV per cell
uncorrected formation energy	56	meV per atom

extended XYZ file:
```
11
Lattice="6.634 1.217 0.923 1.687 8.665 2.331 1.687 4.578 7.717" Properties=species:S:1:pos:R:3 pbc="T T T"
Tl 3.479 10.345 7.849
Tl 6.528 4.115 3.123
Tl 3.648 8.879 4.752
Tl 6.359 7.493 3.701
Tl 3.648 6.967 7.271
Tl 6.359 5.581 6.220
Tl 3.093 5.199 3.945
Tl 6.914 9.261 7.027
Sb 6.091 11.838 8.982
Sb 3.916 2.622 1.989
In 0.000 0.000 0.000
```

A relaxed structure of Tl4In15Sb, computed with PBE.

energy	-53.9	eV per cell
uncorrected formation energy	40	meV per atom

extended XYZ file:
```
20
Lattice="-3.589 -3.206 -1.299 3.246 -2.475 -2.861 5.424 -13.190 17.566" Properties=species:S:1:pos:R:3 pbc="T T T"
In 0.898 -5.441 1.383
In 3.244 -5.180 3.820
In -1.275 -2.867 1.034
In 2.008 -10.850 11.666
In -0.171 -2.840 -2.080
In 4.183 -13.430 12.023
In 3.109 -13.528 15.232
In 4.335 -7.832 7.353
In 2.143 -2.502 0.253
In 6.527 -13.163 14.452
In 3.087 -10.764 8.472
In 1.994 -8.107 4.934
In -0.173 -5.545 4.601
In 0.917 -8.198 8.133
In 5.426 -10.485 10.885
Sb 0.000 0.000 0.000
Tl 3.253 -7.911 10.536
Tl 4.342 -10.560 14.064
Tl 1.081 -2.629 3.502
Tl 2.171 -5.279 7.030
```

A relaxed structure of TlInSb2, computed with PBE.

energy	-12.9	eV per cell
uncorrected formation energy	115	meV per atom

extended XYZ file:
```
4
Lattice="-2.986 -0.259 -1.327 0.035 -2.931 1.468 -4.295 4.361 8.812" Properties=species:S:1:pos:R:3 pbc="T T T"
Sb -2.548 -0.505 2.272
Sb -4.260 4.326 8.740
Tl -2.140 2.173 4.390
In -4.740 1.721 6.770
```

A relaxed structure of Tl2InSb, computed with PBE.

energy	-23.1	eV per cell
uncorrected formation energy	10	meV per atom

extended XYZ file:
```
8
Lattice="2.709 5.069 3.206 2.449 -1.164 6.525 7.007 -0.047 0.908" Properties=species:S:1:pos:R:3 pbc="T T T"
Tl 5.417 3.107 7.398
Tl 8.103 3.287 4.845
Tl 6.748 0.753 3.241
Tl 4.063 0.572 5.795
Sb 7.696 0.342 6.467
Sb 4.469 3.517 4.173
In 3.321 1.033 2.315
In 8.844 2.826 8.325
```

A relaxed structure of Tl2InSb, computed with PBE.

energy	-11.4	eV per cell
uncorrected formation energy	40	meV per atom

extended XYZ file:
```
4
Lattice="6.161 0.060 -0.073 5.178 3.339 -0.073 1.117 0.335 5.845" Properties=species:S:1:pos:R:3 pbc="T T T"
Tl 12.423 3.724 5.693
Tl 6.262 1.877 2.857
In 9.343 2.800 4.275
Sb 3.114 0.933 1.425
```

A relaxed structure of TlInSb, computed with PBE.

energy	-9.1	eV per cell
uncorrected formation energy	48	meV per atom

extended XYZ file:
```
3
Lattice="-0.702 -4.479 -2.726 -1.001 -4.522 2.555 -4.804 -2.194 -0.290" Properties=species:S:1:pos:R:3 pbc="T T T"
In -3.254 -5.598 -0.230
Tl 0.000 0.000 0.000
Sb -4.881 -8.396 -0.345
```

A relaxed structure of Tl3In2Sb, computed with PBE.

energy	-30.6	eV per cell
uncorrected formation energy	230	meV per atom

extended XYZ file:
```
12
Lattice="6.724 0.134 0.000 -0.283 6.719 0.000 0.000 0.000 10.109" Properties=species:S:1:pos:R:3 pbc="T T T"
In 3.403 3.621 2.527
In 0.000 0.000 5.054
In 3.037 3.232 7.582
In 0.000 0.000 0.000
Sb 5.338 5.680 2.527
Sb 1.102 1.173 7.582
Tl 4.521 2.205 0.000
Tl 1.283 1.366 2.527
Tl 5.157 5.488 7.582
Tl 4.521 2.205 5.054
Tl 1.920 4.649 0.000
Tl 1.920 4.649 5.054
```

A relaxed structure of TlInSb2, computed with PBE.

energy	-12.8	eV per cell
uncorrected formation energy	146	meV per atom

extended XYZ file:
```
4
Lattice="-1.333 -0.453 5.253 -3.664 -3.701 1.567 1.582 -4.360 2.841" Properties=species:S:1:pos:R:3 pbc="T T T"
Sb -2.560 -6.386 7.245
Sb -0.853 -2.129 2.415
Tl -1.707 -4.257 4.830
In 0.000 0.000 0.000
```

A relaxed structure of TlInSb2, computed with PBE.

energy	-12.9	eV per cell
uncorrected formation energy	115	meV per atom

extended XYZ file:
```
4
Lattice="4.148 0.000 0.000 2.074 3.592 0.000 2.074 1.197 8.162" Properties=species:S:1:pos:R:3 pbc="T T T"
Tl 4.148 2.395 4.084
Sb 2.074 1.197 6.320
Sb 2.074 1.197 1.852
In 6.222 3.592 8.149
```

A relaxed structure of TlInSb2, computed with PBE.

energy	-26.6	eV per cell
uncorrected formation energy	7	meV per atom

extended XYZ file:
```
8
Lattice="6.704 0.000 0.000 0.000 6.704 0.000 3.352 3.352 6.700" Properties=species:S:1:pos:R:3 pbc="T T T"
Sb 4.980 1.676 1.675
Sb 8.380 8.332 5.025
Sb 1.724 5.028 1.675
Sb 5.028 5.076 5.025
In 3.352 6.704 3.350
In 3.352 3.352 0.000
Tl 6.704 3.352 3.350
Tl 0.000 0.000 0.000
```

A relaxed structure of TlInSb2, computed with PBE.

energy	-12.8	eV per cell
uncorrected formation energy	146	meV per atom

extended XYZ file:
```
4
Lattice="-2.141 10.620 -3.534 -4.074 10.618 -0.715 -0.744 11.360 -0.504" Properties=species:S:1:pos:R:3 pbc="T T T"
Sb -1.753 8.211 -1.197
Sb -0.001 0.005 -0.001
Tl -3.486 16.325 -2.380
In -5.200 24.356 -3.551
```

A relaxed structure of Tl2In5Sb, computed with PBE.

energy	-20.7	eV per cell
uncorrected formation energy	233	meV per atom

extended XYZ file:
```
8
Lattice="5.847 0.000 0.000 0.000 7.001 0.000 0.000 0.000 7.001" Properties=species:S:1:pos:R:3 pbc="T T T"
In 0.000 4.955 4.955
In 0.000 2.046 2.046
In 0.000 2.046 4.955
In 2.923 0.000 0.000
In 0.000 4.955 2.046
Tl 2.923 0.000 3.501
Tl 2.923 3.501 0.000
Sb 0.000 0.000 0.000
```

A relaxed structure of Tl6InSb2, computed with PBE.

energy	-25.1	eV per cell
uncorrected formation energy	14	meV per atom

extended XYZ file:
```
9
Lattice="-4.047 -2.713 2.345 0.265 -5.380 0.467 3.822 -1.572 11.014" Properties=species:S:1:pos:R:3 pbc="T T T"
Tl -0.764 -7.425 8.796
Tl 1.438 -4.519 9.723
Tl 0.804 -2.241 5.030
Tl 0.855 -7.067 12.003
Tl -1.397 -5.147 4.103
Tl -0.814 -2.599 1.822
Sb -2.207 -7.744 5.935
Sb 2.247 -1.921 7.891
In 0.000 0.000 0.000
```

A relaxed structure of Tl2InSb, computed with PBE.

energy	-11.5	eV per cell
uncorrected formation energy	24	meV per atom

extended XYZ file:
```
4
Lattice="-3.177 3.384 3.575 -5.236 0.310 -2.610 3.130 -4.771 1.329" Properties=species:S:1:pos:R:3 pbc="T T T"
Tl 0.000 0.000 0.000
Tl -3.156 -1.307 -0.400
Sb -2.126 0.230 2.693
In -4.206 1.847 0.482
```

A relaxed structure of Tl2InSb, computed with PBE.

energy	-11.6	eV per cell
uncorrected formation energy	7	meV per atom

extended XYZ file:
```
4
Lattice="5.107 0.000 0.000 0.000 3.445 0.343 0.000 1.548 7.003" Properties=species:S:1:pos:R:3 pbc="T T T"
Sb 2.554 3.192 5.453
Tl 0.000 4.778 7.176
Tl 2.554 1.469 2.042
In 0.000 3.043 3.693
```

A relaxed structure of Tl2InSb, computed with PBE.

energy	-11.5	eV per cell
uncorrected formation energy	26	meV per atom

extended XYZ file:
```
4
Lattice="-5.629 -9.852 1.176 -2.773 -11.058 -0.391 -2.812 -10.625 3.056" Properties=species:S:1:pos:R:3 pbc="T T T"
In -5.580 -15.693 1.912
Tl -2.763 -7.771 0.947
Tl -0.031 -0.088 0.011
Sb -8.445 -23.750 2.893
```

A relaxed structure of Tl8In3Sb2, computed with PBE.

energy	-34.9	eV per cell
uncorrected formation energy	37	meV per atom

extended XYZ file:
```
13
Lattice="5.002 0.089 -0.030 -0.162 7.830 -3.666 0.431 0.183 10.572" Properties=species:S:1:pos:R:3 pbc="T T T"
Tl 1.445 4.471 5.152
Tl 1.412 1.340 2.800
Tl 1.513 1.144 6.710
Tl 1.367 4.459 -0.736
Tl 3.904 3.644 7.611
Tl 3.859 6.762 4.075
Tl 3.758 6.959 0.166
Tl 3.826 3.632 1.723
In -0.130 6.277 -2.939
In 2.501 0.045 -0.015
In -0.032 1.553 -0.727
Sb 1.282 5.811 2.156
Sb 3.989 2.292 4.720
```

A relaxed structure of Tl15In4Sb, computed with PBE.

energy	-50.2	eV per cell
uncorrected formation energy	20	meV per atom

extended XYZ file:
```
20
Lattice="-4.560 1.281 -2.609 2.199 -1.654 -4.655 -7.291 -19.124 3.352" Properties=species:S:1:pos:R:3 pbc="T T T"
Tl -5.539 -11.620 -1.628
Tl -1.180 -0.187 -3.632
Tl -2.546 -10.389 -0.652
Tl -6.991 -15.428 -0.961
Tl -5.450 -18.007 0.684
Tl -4.113 -7.878 -2.284
Tl -4.491 -5.160 -0.288
Tl -8.830 -16.540 1.706
Tl -7.359 -12.683 1.030
Tl -2.661 -4.069 -2.952
Tl -3.980 -14.151 0.008
Tl -3.021 -1.304 -0.964
Tl -5.925 -8.922 0.371
Tl -1.112 -6.628 -1.311
Tl 0.358 -2.771 -1.987
Sb 0.000 0.000 0.000
In -2.913 -7.639 1.339
In -1.515 -3.973 0.696
In -5.776 -15.151 2.655
In -4.379 -11.485 2.013
```

A relaxed structure of TlInSb2, computed with PBE.

energy	-13.0	eV per cell
uncorrected formation energy	83	meV per atom

extended XYZ file:
```
4
Lattice="5.977 0.188 -0.477 5.023 3.245 -0.477 0.675 0.211 6.540" Properties=species:S:1:pos:R:3 pbc="T T T"
In 8.763 2.735 4.316
Tl 5.862 1.830 2.795
Sb 0.136 0.042 0.115
Sb 2.751 0.859 1.153
```

A relaxed structure of TlInSb, computed with PBE.

energy	-9.1	eV per cell
uncorrected formation energy	30	meV per atom

extended XYZ file:
```
3
Lattice="-2.642 2.172 5.997 2.451 0.521 6.433 0.459 1.255 -6.773" Properties=species:S:1:pos:R:3 pbc="T T T"
In -0.188 2.651 12.232
Sb -0.066 0.926 4.272
Tl -0.129 1.811 8.356
```